Material: ZnCd2Rh2
Method: DFT, PBE
State: relaxed

Cell lengths 6.541, 6.541, 4.142 Å; angles 90.00, 90.00, 90.00 degrees
Fractional coordinates of all 10 atoms:
1 Rh 0.141 0.359 0.000
2 Cd 0.336 0.164 0.500
3 Zn 0.000 0.000 0.000
4 Cd 0.836 0.336 0.500
5 Rh 0.859 0.641 0.000
6 Rh 0.641 0.141 0.000
7 Rh 0.359 0.859 0.000
8 Zn 0.500 0.500 0.000
9 Cd 0.664 0.836 0.500
10 Cd 0.164 0.664 0.500

Calculated values
energy of formation from the pure elements	-0.17	eV per atom